VASP calculation (PBE) on a relaxed La2AlTe5 crystal.

## Properties
- SG: No. 63
- DOS(E_F): 0.54 states/eV per atom
- VASP energy: -73.104 eV/cell
- Total moment: 0.000 μB/f.u.
- Theoretical density: 4.8 g/cm³
- Uncorrected formation energy: -906 meV per atom

Unit cell a=6.2864 b=8.3216 c=13.4493 alpha=90.00 beta=90.00 gamma=112.19
Fractional coordinates of all 16 atoms:
Te 0.0391 0.0782 0.3784
Te 0.6941 0.3882 0.6005
Al 0.8142 0.6284 0.7500
La 0.1618 0.3236 0.9270
Al 0.1858 0.3716 0.2500
Te 0.9609 0.9218 0.8784
La 0.1618 0.3236 0.5730
Te 0.6941 0.3882 0.8995
La 0.8382 0.6764 0.4270
La 0.8382 0.6764 0.0730
Te 0.3059 0.6118 0.3995
Te 0.9609 0.9218 0.6216
Te 0.2999 0.5997 0.7500
Te 0.3059 0.6118 0.1005
Te 0.0391 0.0782 0.1216
Te 0.7001 0.4003 0.2500